--- 1 ---
RbSbBr4 after structural relaxation, computed with PBE-GGA.

V (A^3/atom): 47.21
Space-group type: No. 15

Cell lengths 10.2529, 10.2529, 7.3626 Å; angles 103.51, 103.51, 122.94 degrees
Fractional positions:
Rb  0.1693  0.8307  0.7500
Rb  0.8307  0.1693  0.2500
Sb  0.4348  0.5652  0.7500
Sb  0.5652  0.4348  0.2500
Br  0.1415  0.4776  0.7718
Br  0.2506  0.3656  0.3103
Br  0.3656  0.2506  0.8103
Br  0.4776  0.1415  0.2718
Br  0.5224  0.8585  0.7282
Br  0.6344  0.7494  0.1897
Br  0.7494  0.6344  0.6897
Br  0.8585  0.5224  0.2282

***

--- 2 ---
RbSbBr4 after structural relaxation, computed with PBE-GGA.

V (A^3/atom): 39.85
Space-group type: No. 36

Cell lengths 10.7463, 10.7463, 8.1116 Å; angles 90.00, 90.00, 149.31 degrees
Fractional positions:
Rb  0.1403  0.8597  0.5000
Rb  0.8597  0.1403  0.0000
Sb  0.4049  0.5951  0.5575
Sb  0.5951  0.4049  0.0575
Br  0.0840  0.9160  0.0664
Br  0.2964  0.7036  0.7391
Br  0.3375  0.6625  0.2777
Br  0.4678  0.5322  0.8896
Br  0.5322  0.4678  0.3896
Br  0.6625  0.3375  0.7777
Br  0.7036  0.2964  0.2391
Br  0.9160  0.0840  0.5664

***

Name the least stable of them. 2.

***

--- 1 ---
RbSb2Br6 after structural relaxation, computed with PBE-GGA.

V (A^3/atom): 42.29
Space-group type: No. 162

Cell lengths 7.7984, 7.7984, 7.2264 Å; angles 90.00, 90.00, 120.00 degrees
Fractional positions:
Rb  0.0000  0.0000  0.0000
Sb  0.3333  0.6667  0.5000
Sb  0.6667  0.3333  0.5000
Br  0.0000  0.3692  0.7129
Br  0.0000  0.6308  0.2871
Br  0.3692  0.0000  0.7129
Br  0.3692  0.3692  0.2871
Br  0.6308  0.0000  0.2871
Br  0.6308  0.6308  0.7129

***

--- 2 ---
RbSb2Br6 after structural relaxation, computed with PBE-GGA.

V (A^3/atom): 50.04
Space-group type: No. 15

Cell lengths 9.8558, 9.8558, 11.9733 Å; angles 118.24, 118.24, 80.09 degrees
Fractional positions:
Rb  0.0761  0.9239  0.7500
Rb  0.9239  0.0761  0.2500
Sb  0.3458  0.4004  0.7945
Sb  0.4004  0.3458  0.2945
Sb  0.5996  0.6542  0.7055
Sb  0.6542  0.5996  0.2055
Br  0.1203  0.1753  0.6249
Br  0.1597  0.6113  0.8435
Br  0.1753  0.1203  0.1249
Br  0.3507  0.3947  0.5485
Br  0.3887  0.8403  0.6565
Br  0.3947  0.3507  0.0485
Br  0.6053  0.6493  0.9515
Br  0.6113  0.1597  0.3435
Br  0.6493  0.6053  0.4515
Br  0.8247  0.8797  0.8751
Br  0.8403  0.3887  0.1565
Br  0.8797  0.8247  0.3751

***

Name the least stable of them. 1.

***

--- 1 ---
Rb2SbBr after structural relaxation, computed with PBE-GGA.

V (A^3/atom): 42.85
Space-group type: No. 225

Cell lengths 8.8175, 8.8175, 8.8175 Å; angles 90.00, 90.00, 90.00 degrees
Fractional positions:
Rb  0.2500  0.2500  0.2500
Rb  0.2500  0.2500  0.7500
Rb  0.2500  0.7500  0.2500
Rb  0.2500  0.7500  0.7500
Rb  0.7500  0.2500  0.2500
Rb  0.7500  0.2500  0.7500
Rb  0.7500  0.7500  0.2500
Rb  0.7500  0.7500  0.7500
Sb  0.0000  0.0000  0.0000
Sb  0.0000  0.5000  0.5000
Sb  0.5000  0.0000  0.5000
Sb  0.5000  0.5000  0.0000
Br  0.0000  0.0000  0.5000
Br  0.0000  0.5000  0.0000
Br  0.5000  0.0000  0.0000
Br  0.5000  0.5000  0.5000

***

--- 2 ---
Rb2SbBr after structural relaxation, computed with PBE-GGA.

V (A^3/atom): 52.63
Space-group type: No. 122

Cell lengths 9.4442, 9.4442, 9.4404 Å; angles 90.00, 90.00, 90.00 degrees
Fractional positions:
Rb  0.2143  0.2500  0.1250
Rb  0.2500  0.7143  0.3750
Rb  0.2500  0.7857  0.8750
Rb  0.2857  0.2500  0.6250
Rb  0.7143  0.7500  0.6250
Rb  0.7500  0.2143  0.8750
Rb  0.7500  0.2857  0.3750
Rb  0.7857  0.7500  0.1250
Sb  0.0000  0.0000  0.5000
Sb  0.0000  0.5000  0.7500
Sb  0.5000  0.0000  0.2500
Sb  0.5000  0.5000  0.0000
Br  0.0000  0.0000  0.0000
Br  0.0000  0.5000  0.2500
Br  0.5000  0.0000  0.7500
Br  0.5000  0.5000  0.5000

***

Name the least stable of them. 1.

***

--- 1 ---
RbSbSe2Br after structural relaxation, computed with PBE-GGA.

V (A^3/atom): 39.73
Space-group type: No. 123

Cell lengths 5.8112, 5.8112, 5.8824 Å; angles 90.00, 90.00, 90.00 degrees
Fractional positions:
Rb  0.0000  0.0000  0.0000
Sb  0.5000  0.5000  0.5000
Se  0.0000  0.5000  0.0000
Se  0.5000  0.0000  0.0000
Br  0.0000  0.0000  0.5000

***

--- 2 ---
RbSbSe2Br after structural relaxation, computed with PBE-GGA.

V (A^3/atom): 33.88
Space-group type: No. 123

Cell lengths 5.3759, 5.3759, 5.8609 Å; angles 90.00, 90.00, 90.00 degrees
Fractional positions:
Rb  0.0000  0.0000  0.0000
Sb  0.5000  0.5000  0.5000
Se  0.0000  0.5000  0.5000
Se  0.5000  0.0000  0.5000
Br  0.5000  0.5000  0.0000

***

Name the least stable of them. 1.